A plane-wave DFT calculation with PBE with a Hubbard U was carried out for crystalline LiMnF3 at its relaxed geometry.

Polymorph energy (0 for the lowest one) = 0.271 eV/atom
Space group = Pm-3m (221)

Unit cell a=4.1776 b=4.1776 c=4.1776 alpha=90.00 beta=90.00 gamma=90.00
Positions (direct):
Li: 0.0000 0.0000 0.0000
Mn: 0.5000 0.5000 0.5000
F: 0.0000 0.5000 0.5000
F: 0.5000 0.0000 0.5000
F: 0.5000 0.5000 0.0000